VASP calculation (PBE with a Hubbard U) on a relaxed CsNiBiF6 crystal.

The value obtained for the final energy is -40.57 eV/f.u.

The space group is P1 (No. 1) and the conventional cell measures 5.828, 5.844 and 6.233 Å, with angles of 89.89, 89.86 and 60.11 degrees. Symmetry generates all atoms from Cs at (0.000, 0.000, 0.000), Ni at (0.334, 0.333, 0.465), Bi at (0.667, 0.667, 0.501), F at (0.009, 0.578, 0.281), F at (0.050, 0.322, 0.647), F at (0.322, 0.626, 0.647), F at (0.414, 0.007, 0.281), F at (0.580, 0.414, 0.281) and F at (0.627, 0.051, 0.647).